i.
An optimized crystal structure of As3Os. Source: Alexandria via LeMat-Bulk, functional GGA-PBE.

a = 3.8918 Å, b = 3.8918 Å, c = 8.2343 Å
α = 105.66°, β = 105.66°, γ = 44.79°
Fractional coordinates of all 4 atoms:
Os 0.0000 0.0000 0.0000
As 0.3505 0.3505 0.1717
As 0.5000 0.5000 0.5000
As 0.6495 0.6495 0.8283

Properties
ρ in Mg/m³: 8.20
Total moment in μB per atom: 0.00

---

ii.
An optimized crystal structure of As3Os. Source: Alexandria via LeMat-Bulk, functional GGA-PBE.

a = 2.8982 Å, b = 2.8982 Å, c = 9.7465 Å
α = 90.00°, β = 90.00°, γ = 119.20°
Fractional coordinates of all 4 atoms:
Os 0.5000 0.5000 0.2500
As 0.0000 0.0000 0.4661
As 0.5000 0.5000 0.7500
As 0.0000 0.0000 0.0339

Properties
ρ in Mg/m³: 9.64
Total moment in μB per atom: 0.00

---

iii.
An optimized crystal structure of As3Os. Source: Alexandria via LeMat-Bulk, functional GGA-PBE.

a = 7.8605 Å, b = 7.8605 Å, c = 2.9970 Å
α = 90.00°, β = 90.00°, γ = 120.00°
Fractional coordinates of all 8 atoms:
Os 0.3333 0.6667 0.2500
Os 0.6667 0.3333 0.7500
As 0.1857 0.3715 0.7500
As 0.8143 0.6285 0.2500
As 0.6285 0.8143 0.7500
As 0.1857 0.8143 0.7500
As 0.3715 0.1857 0.2500
As 0.8143 0.1857 0.2500

Properties
ρ in Mg/m³: 8.59
Total moment in μB per atom: 0.00

---

Relative stability in meV/atom, measured from the most stable structure: i 12; ii 214; iii 0

---

i.
An optimized crystal structure of As5Os. Source: Alexandria via LeMat-Bulk, functional GGA-PBE.

a = 7.4072 Å, b = 7.4072 Å, c = 4.1349 Å
α = 90.00°, β = 90.00°, γ = 147.87°
Fractional coordinates of all 6 atoms:
As 0.6027 0.3973 0.0000
As 0.1023 0.8977 0.5000
As 0.4722 0.5278 0.5000
As 0.8421 0.1579 0.5000
As 0.3417 0.6583 0.0000
Os 0.9724 0.0276 0.0000

Properties
ρ in Mg/m³: 7.77
Total moment in μB per atom: 0.00

---

ii.
An optimized crystal structure of As5Os. Source: Alexandria via LeMat-Bulk, functional GGA-PBE.

a = 2.9607 Å, b = 2.9607 Å, c = 13.2893 Å
α = 90.00°, β = 90.00°, γ = 90.00°
Fractional coordinates of all 6 atoms:
As 0.5000 0.5000 0.3470
As 0.0000 0.0000 0.5000
As 0.0000 0.0000 0.8782
As 0.0000 0.0000 0.1218
As 0.5000 0.5000 0.6530
Os 0.5000 0.5000 0.0000

Properties
ρ in Mg/m³: 8.05
Total moment in μB per atom: 0.00

---

iii.
An optimized crystal structure of As5Os. Source: Alexandria via LeMat-Bulk, functional GGA-PBE.

a = 7.2910 Å, b = 7.2910 Å, c = 4.7355 Å
α = 90.00°, β = 90.00°, γ = 148.85°
Fractional coordinates of all 6 atoms:
As 0.0000 0.0000 0.0000
As 0.3074 0.6926 0.0000
As 0.6926 0.3074 0.0000
As 0.6137 0.3863 0.5000
As 0.3863 0.6137 0.5000
Os 0.0000 0.0000 0.5000

Properties
ρ in Mg/m³: 7.20
Total moment in μB per atom: 0.00

---

Relative stability in meV/atom, measured from the most stable structure: i 374; ii 230; iii 0

---

i.
An optimized crystal structure of As5Os. Source: Alexandria via LeMat-Bulk, functional GGA-PBE.

a = 5.4132 Å, b = 5.4132 Å, c = 5.4132 Å
α = 60.00°, β = 60.00°, γ = 60.00°
Each line ends with the local moment (μB).
Fractional coordinates of all 6 atoms:
As 0.2500 0.2500 0.2500  -0.01
As 0.6244 0.6244 0.6244  0.00
As 0.6244 0.1268 0.6244  0.00
As 0.6244 0.6244 0.1268  0.00
As 0.1268 0.6244 0.6244  0.00
Os 0.0000 0.0000 0.0000  0.53

Properties
ρ in Mg/m³: 8.36
Total moment in μB per atom: 0.09

---

ii.
An optimized crystal structure of As5Os. Source: Alexandria via LeMat-Bulk, functional GGA-PBE.

a = 6.4385 Å, b = 6.4385 Å, c = 7.6813 Å
α = 72.29°, β = 72.29°, γ = 27.71°
Fractional coordinates of all 6 atoms:
As 0.6505 0.6505 0.2058
As 0.9574 0.9574 0.9539
As 0.2848 0.2848 0.3015
As 0.7169 0.7169 0.7642
As 0.9281 0.9281 0.6476
Os 0.2956 0.2956 0.9603

Properties
ρ in Mg/m³: 6.67
Total moment in μB per atom: 0.00

---

iii.
An optimized crystal structure of As5Os. Source: Alexandria via LeMat-Bulk, functional GGA-PBE.

a = 4.9318 Å, b = 4.9318 Å, c = 5.7619 Å
α = 90.00°, β = 90.00°, γ = 120.00°
Each line ends with the local moment (μB).
Fractional coordinates of all 6 atoms:
As 0.0000 0.5000 0.5000  -0.02
As 0.6667 0.3333 0.0000  -0.02
As 0.3333 0.6667 0.0000  -0.02
As 0.5000 0.5000 0.5000  -0.02
As 0.5000 0.0000 0.5000  -0.02
Os 0.0000 0.0000 0.0000  0.46

Properties
ρ in Mg/m³: 7.73
Total moment in μB per atom: 0.06

---

Relative stability in meV/atom, measured from the most stable structure: i 941; ii 0; iii 854

---

i.
An optimized crystal structure of AsOs5. Source: Alexandria via LeMat-Bulk, functional GGA-PBE.

a = 7.3408 Å, b = 7.3408 Å, c = 4.3392 Å
α = 90.00°, β = 90.00°, γ = 157.98°
Fractional coordinates of all 6 atoms:
Os 0.4442 0.5558 0.5000
Os 0.1092 0.8908 0.5000
Os 0.7815 0.2185 0.5000
Os 0.6731 0.3269 0.0000
Os 0.3286 0.6714 0.0000
As 0.9967 0.0033 0.0000

Properties
ρ in Mg/m³: 19.43
Total moment in μB per atom: 0.00

---

ii.
An optimized crystal structure of AsOs5. Source: Alexandria via LeMat-Bulk, functional GGA-PBE.

a = 5.1511 Å, b = 5.1511 Å, c = 5.1511 Å
α = 60.00°, β = 60.00°, γ = 60.00°
Fractional coordinates of all 6 atoms:
Os 0.3756 0.3756 0.3756
Os 0.7500 0.7500 0.7500
Os 0.8733 0.3756 0.3756
Os 0.3756 0.3756 0.8733
Os 0.3756 0.8733 0.3756
As 0.0000 0.0000 0.0000

Properties
ρ in Mg/m³: 17.63
Total moment in μB per atom: 0.00

---

Relative stability in meV/atom, measured from the most stable structure: i 0; ii 792

---

i.
An optimized crystal structure of AsOs5. Source: Alexandria via LeMat-Bulk, functional GGA-PBE.

a = 2.8098 Å, b = 2.8098 Å, c = 10.9796 Å
α = 90.00°, β = 90.00°, γ = 90.00°
Fractional coordinates of all 6 atoms:
Os 0.5000 0.5000 0.6727
Os 0.0000 0.0000 0.8391
Os 0.5000 0.5000 0.3273
Os 0.0000 0.0000 0.1609
Os 0.0000 0.0000 0.5000
As 0.5000 0.5000 0.0000

Properties
ρ in Mg/m³: 19.66
Total moment in μB per atom: 0.00

---

ii.
An optimized crystal structure of AsOs5. Source: Alexandria via LeMat-Bulk, functional GGA-PBE.

a = 6.2916 Å, b = 6.2916 Å, c = 3.8285 Å
α = 90.00°, β = 90.00°, γ = 144.21°
Fractional coordinates of all 6 atoms:
As 0.5000 0.5000 0.0000
Os 0.3273 0.6727 0.5000
Os 0.8215 0.1785 0.0000
Os 0.0000 0.0000 0.5000
Os 0.1785 0.8215 0.0000
Os 0.6727 0.3273 0.5000

Properties
ρ in Mg/m³: 19.23
Total moment in μB per atom: 0.00

---

iii.
An optimized crystal structure of AsOs5. Source: Alexandria via LeMat-Bulk, functional GGA-PBE.

a = 4.7785 Å, b = 4.7785 Å, c = 4.4252 Å
α = 90.00°, β = 90.00°, γ = 120.00°
Fractional coordinates of all 6 atoms:
As 0.0000 0.0000 0.5000
Os 0.3473 0.3473 0.0000
Os 0.6667 0.3333 0.5000
Os 0.3333 0.6667 0.5000
Os 0.0000 0.6527 0.0000
Os 0.6527 0.0000 0.0000

Properties
ρ in Mg/m³: 19.47
Total moment in μB per atom: 0.00

---

Relative stability in meV/atom, measured from the most stable structure: i 0; ii 77; iii 88

---

i.
An optimized crystal structure of AsPOs. Source: Alexandria via LeMat-Bulk, functional GGA-PBE.

a = 8.3580 Å, b = 8.3580 Å, c = 2.9647 Å
α = 90.00°, β = 90.00°, γ = 134.91°
Fractional coordinates of all 9 atoms:
Os 0.9207 0.4398 0.5000
Os 0.6267 0.6267 0.5000
Os 0.4398 0.9207 0.5000
P 0.7900 0.1337 0.0000
P 0.1337 0.7900 0.0000
P 0.9001 0.9001 0.0000
As 0.3507 0.6081 0.0000
As 0.2302 0.2302 0.5000
As 0.6081 0.3507 0.0000

Properties
ρ in Mg/m³: 10.06
Total moment in μB per atom: 0.00

---

ii.
An optimized crystal structure of AsPOs. Source: Alexandria via LeMat-Bulk, functional GGA-PBE.

a = 4.1740 Å, b = 4.1740 Å, c = 4.1740 Å
α = 60.00°, β = 60.00°, γ = 60.00°
Fractional coordinates of all 3 atoms:
P 0.5000 0.5000 0.5000
As 0.7500 0.7500 0.7500
Os 0.0000 0.0000 0.0000

Properties
ρ in Mg/m³: 9.56
Total moment in μB per atom: 0.00

---

Relative stability in meV/atom, measured from the most stable structure: i 0; ii 552

---

i.
An optimized crystal structure of AsPOs. Source: Alexandria via LeMat-Bulk, functional GGA-PBE.

a = 4.1219 Å, b = 4.1219 Å, c = 4.1219 Å
α = 60.00°, β = 60.00°, γ = 60.00°
Fractional coordinates of all 3 atoms:
Os 0.5000 0.5000 0.5000
As 0.0000 0.0000 0.0000
P 0.7500 0.7500 0.7500

Properties
ρ in Mg/m³: 9.93
Total moment in μB per atom: 0.00

---

ii.
An optimized crystal structure of AsPOs. Source: Alexandria via LeMat-Bulk, functional GGA-PBE.

a = 4.1314 Å, b = 4.1314 Å, c = 4.1314 Å
α = 60.00°, β = 60.00°, γ = 60.00°
Fractional coordinates of all 3 atoms:
As 0.5000 0.5000 0.5000
P 0.0000 0.0000 0.0000
Os 0.7500 0.7500 0.7500

Properties
ρ in Mg/m³: 9.86
Total moment in μB per atom: 0.00

---

iii.
An optimized crystal structure of AsPOs. Source: Alexandria via LeMat-Bulk, functional GGA-PBE.

a = 6.2905 Å, b = 6.3212 Å, c = 6.3212 Å
α = 153.27°, β = 153.27°, γ = 38.21°
Fractional coordinates of all 3 atoms:
As 0.9385 0.9712 0.9673
P 0.7068 0.7063 0.0004
Os 0.3547 0.3224 0.0323

Properties
ρ in Mg/m³: 9.69
Total moment in μB per atom: 0.00

---

Relative stability in meV/atom, measured from the most stable structure: i 626; ii 0; iii 75

---

i.
An optimized crystal structure of AsPOs. Source: Alexandria via LeMat-Bulk, functional GGA-PBE.

a = 7.9772 Å, b = 7.7005 Å, c = 2.9040 Å
α = 84.75°, β = 74.00°, γ = 21.25°
Fractional coordinates of all 3 atoms:
As 0.0297 0.0297 0.9703
P 0.2960 0.2960 0.7040
Os 0.6743 0.6743 0.3257

Properties
ρ in Mg/m³: 8.99
Total moment in μB per atom: 0.00

---

ii.
An optimized crystal structure of AsPOs. Source: Alexandria via LeMat-Bulk, functional GGA-PBE.

a = 6.0897 Å, b = 6.0967 Å, c = 6.0969 Å
α = 121.13°, β = 90.00°, γ = 90.00°
Fractional coordinates of all 12 atoms:
As 0.1293 0.3305 0.9195
As 0.6295 0.1695 0.5807
As 0.6293 0.6695 0.0805
As 0.1295 0.8305 0.4193
Os 0.0060 0.2590 0.4910
Os 0.0059 0.7591 0.9909
Os 0.5059 0.2409 0.0091
Os 0.5060 0.7410 0.5090
P 0.3664 0.8369 0.9129
P 0.8666 0.6631 0.5869
P 0.3666 0.3369 0.4131
P 0.8664 0.1631 0.0871

Properties
ρ in Mg/m³: 10.15
Total moment in μB per atom: 0.00

---

Relative stability in meV/atom, measured from the most stable structure: i 789; ii 0